# 1
Computed, not measured: an optimized crystal structure of Pr4Al3Cd at the PBE level of DFT.

POSCAR file:
```
Pr4Al3Cd
1.0
3.8075 0.0000 0.0000
0.0000 4.6943 0.0000
0.0000 0.0000 12.4237
Pr Al Cd
4 3 1
direct
0.0000 0.0000 0.0000 Pr
0.0000 0.5000 0.3033 Pr
0.5000 0.0000 0.4920 Pr
0.5000 0.5000 0.8106 Pr
0.0000 0.5000 0.5834 Al
0.5000 0.0000 0.2153 Al
0.5000 0.5000 0.0882 Al
0.0000 0.0000 0.7146 Cd
```

Calculated values
The formation energy comes out at -0.301 eV per atom. The calculation puts the final energy at -4.2087 eV/atom. Its volume is 27.76 Å³/atom. For the energy relative to the lowest polymorph listed for this composition, the calculation gives 28 meV per atom.


# 2
Computed, not measured: an optimized crystal structure of Pr3AlCd at the PBE level of DFT.

POSCAR file:
```
Pr3AlCd
1.0
2.7153 -10.0291 0.0000
2.7153 10.0291 0.0000
0.0000 0.0000 5.4509
Pr Al Cd
6 2 2
direct
0.0598 0.9402 0.7500 Pr
0.2476 0.7524 0.7500 Pr
0.4327 0.5673 0.7500 Pr
0.5673 0.4327 0.2500 Pr
0.7524 0.2476 0.2500 Pr
0.9402 0.0598 0.2500 Pr
0.1552 0.8448 0.2500 Al
0.8448 0.1552 0.7500 Al
0.3447 0.6553 0.2500 Cd
0.6553 0.3447 0.7500 Cd
```

Calculated values
The formation energy comes out at -0.236 eV per atom. The calculation puts the final energy at -4.0357 eV/atom. Its volume is 29.69 Å³/atom. For the energy relative to the lowest polymorph listed for this composition, the calculation gives 0 meV per atom.


# 3
Computed, not measured: an optimized crystal structure of Pr4Al3Cd at the PBE level of DFT.

POSCAR file:
```
Pr4Al3Cd
1.0
2.6866 1.5511 8.7537
-2.6866 1.5511 8.7537
0.0000 -3.1023 8.7537
Pr Al Cd
4 3 1
direct
0.1224 0.1224 0.1224 Pr
0.3728 0.3728 0.3728 Pr
0.6272 0.6272 0.6272 Pr
0.8776 0.8776 0.8776 Pr
0.0000 0.0000 0.0000 Al
0.2476 0.2476 0.2476 Al
0.7524 0.7524 0.7524 Al
0.5000 0.5000 0.5000 Cd
```

Calculated values
The formation energy comes out at -0.329 eV per atom. The calculation puts the final energy at -4.2364 eV/atom. Its volume is 27.36 Å³/atom. For the energy relative to the lowest polymorph listed for this composition, the calculation gives 0 meV per atom.